A plane-wave DFT calculation with PBE was carried out for an optimized crystal structure of Rb2NpCu2Br6.

Cell lengths 13.4643, 7.9510, 8.5189 Å; angles 90.00, 121.32, 90.00 degrees
With the nearest neighbours (Å) after each atom.
Space group C2/m (No. 12)
Unique sites:
Rb 0.2213 0.0000 0.1951 [4 per cell]  5 Br 3.48-3.60
Np 0.0000 0.0000 0.5000 [2 per cell]  6 Br 2.92-2.94
Cu 0.0390 0.5000 0.1666 [4 per cell]  1 Cu 2.46, 3 Br 2.48-2.50
Br 0.0537 0.2456 0.7924 [8 per cell]  1 Cu 2.50
Br 0.2469 0.0000 0.6238 [4 per cell]  1 Cu 2.48

Density of states at the Fermi level: 7.77 states/eV/f.u.
M_tot: 9.94 μB per cell
Formation energy without anion corrections: -0.987 eV per atom